No. 1
Here is a relaxed structure of Os2PbCl from the Alexandria database. Energies are from PBE.

The structure belongs to space group R-3m (No. 166, hexagonal axes); the cell edges are 3.0800, 3.0800 and 25.2529 Å and the angles 90.00°, 90.00° and 120.00°. The inequivalent atoms are Os at (0.0000, 0.0000, 0.2465), Pb at (0.0000, 0.0000, 0.0000) and Cl at (0.0000, 0.0000, 0.5000).

For the energy above the most stable polymorph in this dataset, the calculation gives 967.5 meV per atom. The magnetization comes out at 0.0 μB per formula unit. For the formation energy from raw total energies, the calculation gives 1.26 eV per atom.

No. 2
Here is a relaxed structure of OsPbCl3 from the Alexandria database. Energies are from PBE.

The structure belongs to space group Pm-3m (No. 221); the cell edges are 5.5967, 5.5967 and 5.5967 Å and the angles 90.00°, 90.00° and 90.00°. The inequivalent atoms are Os at (0.0000, 0.0000, 0.0000), Pb at (0.5000, 0.5000, 0.5000) and Cl at (0.0000, 0.5000, 0.5000).

For the energy above the most stable polymorph in this dataset, the calculation gives 569.5 meV per atom. The magnetization comes out at 4.9 μB per formula unit. For the formation energy from raw total energies, the calculation gives 0.75 eV per atom.

No. 3
Here is a relaxed structure of OsPb2Cl from the Alexandria database. Energies are from PBE.

The structure belongs to space group P4mm (No. 99); the cell edges are 3.3896, 3.3896 and 8.0459 Å and the angles 90.00°, 90.00° and 90.00°. The inequivalent atoms are Os at (0.0000, 0.0000, 0.0000), Pb at (0.0000, 0.0000, 0.5006), Pb at (0.5000, 0.5000, 0.1877) and Cl at (0.5000, 0.5000, 0.7757).

For the energy above the most stable polymorph in this dataset, the calculation gives 412.4 meV per atom. The magnetization comes out at 0.7 μB per formula unit. For the formation energy from raw total energies, the calculation gives 0.71 eV per atom.

No. 4
Here is a relaxed structure of OsPb4Cl from the Alexandria database. Energies are from PBE.

The structure belongs to space group F-43m (No. 216); the cell edges are 8.9133, 8.9133 and 8.9133 Å and the angles 90.00°, 90.00° and 90.00°. The inequivalent atoms are Os at (0.0000, 0.0000, 0.0000), Pb at (0.1257, 0.1257, 0.6257) and Cl at (0.2500, 0.2500, 0.2500).

The magnetization comes out at 2.7 μB per formula unit. For the formation energy from raw total energies, the calculation gives 0.94 eV per atom.

Question: Look up the magnetization of the first one.
Answer: 0.0 μB per formula unit

Copy entry 2 word for word.
Here is a relaxed structure of OsPbCl3 from the Alexandria database. Energies are from PBE.

The structure belongs to space group Pm-3m (No. 221); the cell edges are 5.5967, 5.5967 and 5.5967 Å and the angles 90.00°, 90.00° and 90.00°. The inequivalent atoms are Os at (0.0000, 0.0000, 0.0000), Pb at (0.5000, 0.5000, 0.5000) and Cl at (0.0000, 0.5000, 0.5000).

For the energy above the most stable polymorph in this dataset, the calculation gives 569.5 meV per atom. The magnetization comes out at 4.9 μB per formula unit. For the formation energy from raw total energies, the calculation gives 0.75 eV per atom.

Question: What is the formation energy from raw total energies in the third record?
Answer: 0.71 eV per atom

What did the fourth record say?
Here is a relaxed structure of OsPb4Cl from the Alexandria database. Energies are from PBE.

The structure belongs to space group F-43m (No. 216); the cell edges are 8.9133, 8.9133 and 8.9133 Å and the angles 90.00°, 90.00° and 90.00°. The inequivalent atoms are Os at (0.0000, 0.0000, 0.0000), Pb at (0.1257, 0.1257, 0.6257) and Cl at (0.2500, 0.2500, 0.2500).

The magnetization comes out at 2.7 μB per formula unit. For the formation energy from raw total energies, the calculation gives 0.94 eV per atom.